Crystalline Dy6ErHg2 at its relaxed geometry. Source: Alexandria, functional GGA-PBE.

Structure (CIF):
```
data_Dy6ErHg2
_chemical_formula_sum 'Dy6 Er1 Hg2'
_cell_length_a 3.7187
_cell_length_b 6.5452
_cell_length_c 11.5786
_cell_angle_alpha 75.62
_cell_angle_beta 80.76
_cell_angle_gamma 73.50
_symmetry_space_group_name_H-M 'P 1'
_symmetry_Int_Tables_number 1
_symmetry_space_group_name_Hall 'P 1'
loop_
_atom_site_label
_atom_site_type_symbol
_atom_site_fract_x
_atom_site_fract_y
_atom_site_fract_z
Dy1 Dy 0.6877 0.5012 0.1234
Dy2 Dy 0.3123 0.4988 0.8766
Dy3 Dy 0.3121 0.7901 0.5857
Dy4 Dy 0.9831 0.6968 0.3370
Dy5 Dy 0.0169 0.3032 0.6630
Dy6 Dy 0.6879 0.2099 0.4143
Er1 Er 0.0000 0.0000 0.0000
Hg1 Hg 0.3575 0.0821 0.2029
Hg2 Hg 0.6425 0.9179 0.7971
```

***

Crystalline Dy4Er3Hg4 at its relaxed geometry. Source: Alexandria, functional GGA-PBE.

Structure (CIF):
```
data_Dy4Er3Hg4
_chemical_formula_sum 'Dy4 Er3 Hg4'
_cell_length_a 5.1817
_cell_length_b 7.0382
_cell_length_c 9.5092
_cell_angle_alpha 111.72
_cell_angle_beta 105.81
_cell_angle_gamma 90.00
_symmetry_space_group_name_H-M 'P 1'
_symmetry_Int_Tables_number 1
_symmetry_space_group_name_Hall 'P 1'
loop_
_atom_site_label
_atom_site_type_symbol
_atom_site_fract_x
_atom_site_fract_y
_atom_site_fract_z
Dy1 Dy 0.3208 0.0832 0.6416
Dy2 Dy 0.6792 0.4416 0.3584
Dy3 Dy 0.6792 0.9168 0.3584
Dy4 Dy 0.3208 0.5584 0.6416
Er1 Er 0.0990 0.0990 0.1981
Er2 Er 0.9010 0.9010 0.8019
Er3 Er 0.0000 0.5000 0.0000
Hg1 Hg 0.1784 0.6784 0.3567
Hg2 Hg 0.8216 0.3216 0.6433
Hg3 Hg 0.5000 0.7886 0.0000
Hg4 Hg 0.5000 0.2114 0.0000
```

***

Crystalline DyErHg6 at its relaxed geometry. Source: Alexandria, functional GGA-PBE.

Structure (CIF):
```
data_DyErHg6
_chemical_formula_sum 'Dy1 Er1 Hg6'
_cell_length_a 5.0197
_cell_length_b 6.6252
_cell_length_c 6.6252
_cell_angle_alpha 120.04
_cell_angle_beta 90.00
_cell_angle_gamma 90.00
_symmetry_space_group_name_H-M 'P 1'
_symmetry_Int_Tables_number 1
_symmetry_space_group_name_Hall 'P 1'
loop_
_atom_site_label
_atom_site_type_symbol
_atom_site_fract_x
_atom_site_fract_y
_atom_site_fract_z
Dy1 Dy 0.5000 0.4167 0.5833
Er1 Er 0.0000 0.0832 0.9168
Hg1 Hg 0.0000 0.0822 0.4162
Hg2 Hg 0.0000 0.5838 0.9178
Hg3 Hg 0.0000 0.5840 0.4160
Hg4 Hg 0.5000 0.4156 0.0828
Hg5 Hg 0.5000 0.9172 0.5844
Hg6 Hg 0.5000 0.9169 0.0831
```

***

Crystalline DyEr3Hg4 at its relaxed geometry. Source: Alexandria, functional GGA-PBE.

Structure (CIF):
```
data_DyEr3Hg4
_chemical_formula_sum 'Dy2 Er6 Hg8'
_cell_length_a 5.2059
_cell_length_b 7.4677
_cell_length_c 10.4122
_cell_angle_alpha 90.00
_cell_angle_beta 90.00
_cell_angle_gamma 90.00
_symmetry_space_group_name_H-M 'P 1'
_symmetry_Int_Tables_number 1
_symmetry_space_group_name_Hall 'P 1'
loop_
_atom_site_label
_atom_site_type_symbol
_atom_site_fract_x
_atom_site_fract_y
_atom_site_fract_z
Er1 Er 0.0000 0.0000 0.0000
Er2 Er 0.0000 0.0000 0.5000
Er3 Er 0.5002 0.0000 0.7500
Er4 Er 0.4998 0.0000 0.2500
Er5 Er 0.5003 0.5000 0.7500
Er6 Er 0.4997 0.5000 0.2500
Hg1 Hg 0.5000 0.7523 0.0000
Hg2 Hg 0.5000 0.7523 0.5000
Hg3 Hg 0.5000 0.2477 0.0000
Hg4 Hg 0.5000 0.2477 0.5000
Hg5 Hg 0.0004 0.7524 0.7500
Hg6 Hg 0.9996 0.7524 0.2500
Hg7 Hg 0.9996 0.2476 0.2500
Hg8 Hg 0.0004 0.2476 0.7500
Dy1 Dy 0.0000 0.5000 0.0000
Dy2 Dy 0.0000 0.5000 0.5000
```

Computed properties:
ΔE to the lowest computed polymorph ... 0 meV per atom

***

Crystalline DyEr8Hg2 at its relaxed geometry. Source: Alexandria, functional GGA-PBE.

Structure (CIF):
```
data_DyEr8Hg2
_chemical_formula_sum 'Dy1 Er8 Hg2'
_cell_length_a 5.4596
_cell_length_b 8.5640
_cell_length_c 8.5640
_cell_angle_alpha 118.23
_cell_angle_beta 100.29
_cell_angle_gamma 100.29
_symmetry_space_group_name_H-M 'P 1'
_symmetry_Int_Tables_number 1
_symmetry_space_group_name_Hall 'P 1'
loop_
_atom_site_label
_atom_site_type_symbol
_atom_site_fract_x
_atom_site_fract_y
_atom_site_fract_z
Dy1 Dy 0.5000 0.0000 0.0000
Er1 Er 0.8928 0.9089 0.6793
Er2 Er 0.8928 0.6793 0.9089
Er3 Er 0.2995 0.6033 0.6033
Er4 Er 0.5000 0.7752 0.2248
Er5 Er 0.5000 0.2248 0.7752
Er6 Er 0.7005 0.3967 0.3967
Er7 Er 0.1072 0.3207 0.0911
Er8 Er 0.1072 0.0911 0.3207
Hg1 Hg 0.0000 0.3071 0.6929
Hg2 Hg 0.0000 0.6929 0.3071
```

***

Crystalline Dy12ErHg6 at its relaxed geometry. Source: Alexandria, functional GGA-PBE.

Structure (CIF):
```
data_Dy12ErHg6
_chemical_formula_sum 'Dy12 Er1 Hg6'
_cell_length_a 8.9878
_cell_length_b 8.9878
_cell_length_c 8.9878
_cell_angle_alpha 110.93
_cell_angle_beta 110.93
_cell_angle_gamma 110.93
_symmetry_space_group_name_H-M 'P 1'
_symmetry_Int_Tables_number 1
_symmetry_space_group_name_Hall 'P 1'
loop_
_atom_site_label
_atom_site_type_symbol
_atom_site_fract_x
_atom_site_fract_y
_atom_site_fract_z
Dy1 Dy 0.7986 0.6760 0.5302
Dy2 Dy 0.5302 0.7986 0.6760
Dy3 Dy 0.6760 0.5302 0.7986
Dy4 Dy 0.2014 0.3240 0.4698
Dy5 Dy 0.4698 0.2014 0.3240
Dy6 Dy 0.3240 0.4698 0.2014
Dy7 Dy 0.8886 0.8246 0.2659
Dy8 Dy 0.1754 0.7341 0.1114
Dy9 Dy 0.7341 0.1114 0.1754
Dy10 Dy 0.1114 0.1754 0.7341
Dy11 Dy 0.8246 0.2659 0.8886
Dy12 Dy 0.2659 0.8886 0.8246
Er1 Er 0.0000 0.0000 0.0000
Hg1 Hg 0.6420 0.9395 0.4289
Hg2 Hg 0.5711 0.3580 0.0605
Hg3 Hg 0.0605 0.5711 0.3580
Hg4 Hg 0.3580 0.0605 0.5711
Hg5 Hg 0.4289 0.6420 0.9395
Hg6 Hg 0.9395 0.4289 0.6420
```

***

Crystalline DyEr2Hg at its relaxed geometry. Source: Alexandria, functional GGA-PBE.

Structure (CIF):
```
data_DyEr2Hg
_chemical_formula_sum 'Dy1 Er2 Hg1'
_cell_length_a 4.7616
_cell_length_b 4.7840
_cell_length_c 4.7840
_cell_angle_alpha 90.00
_cell_angle_beta 90.00
_cell_angle_gamma 90.00
_symmetry_space_group_name_H-M 'P 1'
_symmetry_Int_Tables_number 1
_symmetry_space_group_name_Hall 'P 1'
loop_
_atom_site_label
_atom_site_type_symbol
_atom_site_fract_x
_atom_site_fract_y
_atom_site_fract_z
Dy1 Dy 0.5000 0.0000 0.0000
Hg1 Hg 0.5000 0.5000 0.5000
Er1 Er 0.0000 0.0000 0.5000
Er2 Er 0.0000 0.5000 0.0000
```

Computed properties:
ΔE to the lowest computed polymorph ... 76 meV per atom

***

Crystalline Dy2Er3Hg2 at its relaxed geometry. Source: Alexandria, functional GGA-PBE.

Structure (CIF):
```
data_Dy2Er3Hg2
_chemical_formula_sum 'Dy2 Er3 Hg2'
_cell_length_a 5.3132
_cell_length_b 5.3189
_cell_length_c 8.4480
_cell_angle_alpha 108.27
_cell_angle_beta 90.00
_cell_angle_gamma 119.96
_symmetry_space_group_name_H-M 'P 1'
_symmetry_Int_Tables_number 1
_symmetry_space_group_name_Hall 'P 1'
loop_
_atom_site_label
_atom_site_type_symbol
_atom_site_fract_x
_atom_site_fract_y
_atom_site_fract_z
Dy1 Dy 0.9250 0.8500 0.2741
Dy2 Dy 0.0750 0.1500 0.7259
Er1 Er 0.5000 0.0000 0.0000
Er2 Er 0.6573 0.3146 0.4721
Er3 Er 0.3427 0.6854 0.5279
Hg1 Hg 0.7861 0.5721 0.8587
Hg2 Hg 0.2139 0.4279 0.1413
```

***

Number 1: energy of formation from the pure elements -0.21 eV per atom, final energy -3.85 eV per atom. Number 2: energy of formation from the pure elements -0.23 eV per atom, final energy -3.26 eV per atom. Number 3: energy of formation from the pure elements -0.33 eV per atom, final energy -1.70 eV per atom. Number 4: energy of formation from the pure elements -0.48 eV per atom, final energy -2.92 eV per atom. Number 5: energy of formation from the pure elements -0.04 eV per atom, final energy -3.84 eV per atom. Number 6: energy of formation from the pure elements -0.17 eV per atom, final energy -3.41 eV per atom. Number 7: energy of formation from the pure elements -0.15 eV per atom, final energy -3.66 eV per atom. Number 8: energy of formation from the pure elements -0.24 eV per atom, final energy -3.59 eV per atom.